Record 1
# LiLaAg2O (PBE, relaxed)
data_LiLaAg2O
_chemical_formula_sum 'Li1 La1 Ag2 O1'
_cell_length_a 7.430
_cell_length_b 7.430
_cell_length_c 7.430
_cell_angle_alpha 151.17
_cell_angle_beta 151.17
_cell_angle_gamma 41.22
_space_group_name_H-M_alt 'P 1'
_space_group_IT_number 1
_space_group_name_Hall 'P 1'
loop_
_atom_site_label
_atom_site_type_symbol
_atom_site_fract_x
_atom_site_fract_y
_atom_site_fract_z
Li1 Li 0.000 0.000 0.000
La1 La 0.652 0.652 0.000
Ag1 Ag 0.365 0.865 0.500
Ag2 Ag 0.865 0.365 0.500
O1 O 0.134 0.134 0.000
# - Final energy: -4.470 eV/atom

---

Record 2
# CoSn2Pb (PBE, relaxed)
data_CoSn2Pb
_chemical_formula_sum 'Co1 Sn2 Pb1'
_cell_length_a 5.075
_cell_length_b 5.075
_cell_length_c 5.075
_cell_angle_alpha 60.00
_cell_angle_beta 60.00
_cell_angle_gamma 60.00
_space_group_name_H-M_alt 'P 1'
_space_group_IT_number 1
_space_group_name_Hall 'P 1'
loop_
_atom_site_label
_atom_site_type_symbol
_atom_site_fract_x
_atom_site_fract_y
_atom_site_fract_z
Co1 Co 0.000 0.000 0.000
Sn1 Sn 0.250 0.250 0.250
Sn2 Sn 0.500 0.500 0.500
Pb1 Pb 0.750 0.750 0.750
# - Final energy: -4.184 eV/atom

---

Record 3
# SmGdCl2O2 (PBE, relaxed)
data_SmGdCl2O2
_chemical_formula_sum 'Sm1 Gd1 Cl2 O2'
_cell_length_a 3.957
_cell_length_b 3.957
_cell_length_c 6.717
_cell_angle_alpha 90.00
_cell_angle_beta 90.00
_cell_angle_gamma 90.00
_space_group_name_H-M_alt 'P 1'
_space_group_IT_number 1
_space_group_name_Hall 'P 1'
loop_
_atom_site_label
_atom_site_type_symbol
_atom_site_fract_x
_atom_site_fract_y
_atom_site_fract_z
Sm1 Sm 0.000 0.000 0.000
Gd1 Gd 0.500 0.500 0.656
Cl1 Cl 0.000 0.000 0.454
Cl2 Cl 0.500 0.500 0.200
O1 O 0.000 0.500 0.824
O2 O 0.500 0.000 0.824
# - Final energy: -6.892 eV/atom

---

Record 4
# YNi2Hg (PBE, relaxed)
data_YNi2Hg
_chemical_formula_sum 'Y1 Ni2 Hg1'
_cell_length_a 4.651
_cell_length_b 4.651
_cell_length_c 4.651
_cell_angle_alpha 60.00
_cell_angle_beta 60.00
_cell_angle_gamma 60.00
_space_group_name_H-M_alt 'P 1'
_space_group_IT_number 1
_space_group_name_Hall 'P 1'
loop_
_atom_site_label
_atom_site_type_symbol
_atom_site_fract_x
_atom_site_fract_y
_atom_site_fract_z
Y1 Y 0.000 0.000 0.000
Ni1 Ni 0.500 0.500 0.500
Ni2 Ni 0.750 0.750 0.750
Hg1 Hg 0.250 0.250 0.250
# - Energy of formation from the pure elements: -0.038 eV per atom
# - Final energy: -4.513 eV/atom

---

Record 5
# KNbBr3 (PBE, relaxed)
data_KNbBr3
_chemical_formula_sum 'K2 Nb2 Br6'
_cell_length_a 8.324
_cell_length_b 8.324
_cell_length_c 8.324
_cell_angle_alpha 52.29
_cell_angle_beta 52.29
_cell_angle_gamma 52.29
_space_group_name_H-M_alt 'P 1'
_space_group_IT_number 1
_space_group_name_Hall 'P 1'
loop_
_atom_site_label
_atom_site_type_symbol
_atom_site_fract_x
_atom_site_fract_y
_atom_site_fract_z
K1 K 0.149 0.149 0.149
K2 K 0.851 0.851 0.851
Nb1 Nb 0.335 0.335 0.335
Nb2 Nb 0.665 0.665 0.665
Br1 Br 0.066 0.700 0.443
Br2 Br 0.300 0.557 0.934
Br3 Br 0.443 0.066 0.700
Br4 Br 0.557 0.934 0.300
Br5 Br 0.700 0.443 0.066
Br6 Br 0.934 0.300 0.557
# - Final energy: -4.149 eV/atom

---

Record 6
# LiSiAuS3 (PBE, relaxed)
data_LiSiAuS3
_chemical_formula_sum 'Li2 Si2 Au2 S6'
_cell_length_a 6.845
_cell_length_b 6.845
_cell_length_c 9.472
_cell_angle_alpha 90.00
_cell_angle_beta 90.00
_cell_angle_gamma 151.53
_space_group_name_H-M_alt 'P 1'
_space_group_IT_number 1
_space_group_name_Hall 'P 1'
loop_
_atom_site_label
_atom_site_type_symbol
_atom_site_fract_x
_atom_site_fract_y
_atom_site_fract_z
Li1 Li 0.175 0.825 0.750
Li2 Li 0.825 0.175 0.250
Si1 Si 0.500 0.500 0.000
Si2 Si 0.500 0.500 0.500
Au1 Au 0.154 0.846 0.250
Au2 Au 0.846 0.154 0.750
S1 S 0.124 0.876 0.010
S2 S 0.124 0.876 0.490
S3 S 0.457 0.543 0.250
S4 S 0.543 0.457 0.750
S5 S 0.876 0.124 0.510
S6 S 0.876 0.124 0.990
# - Final energy: -4.273 eV/atom

---

Record 7
# NaNpW (PBE, relaxed)
data_NaNpW
_chemical_formula_sum 'Na1 Np1 W1'
_cell_length_a 4.593
_cell_length_b 4.593
_cell_length_c 4.593
_cell_angle_alpha 60.00
_cell_angle_beta 60.00
_cell_angle_gamma 60.00
_space_group_name_H-M_alt 'P 1'
_space_group_IT_number 1
_space_group_name_Hall 'P 1'
loop_
_atom_site_label
_atom_site_type_symbol
_atom_site_fract_x
_atom_site_fract_y
_atom_site_fract_z
Na1 Na 0.000 0.000 0.000
Np1 Np 0.500 0.500 0.500
W1 W 0.250 0.250 0.250
# - Final energy: -7.289 eV/atom

---

Record 8
# ScCuGeW (PBE, relaxed)
data_ScCuGeW
_chemical_formula_sum 'Sc1 Cu1 Ge1 W1'
_cell_length_a 4.485
_cell_length_b 4.485
_cell_length_c 4.485
_cell_angle_alpha 60.00
_cell_angle_beta 60.00
_cell_angle_gamma 60.00
_space_group_name_H-M_alt 'P 1'
_space_group_IT_number 1
_space_group_name_Hall 'P 1'
loop_
_atom_site_label
_atom_site_type_symbol
_atom_site_fract_x
_atom_site_fract_y
_atom_site_fract_z
Sc1 Sc 0.000 0.000 0.000
Cu1 Cu 0.750 0.750 0.750
Ge1 Ge 0.500 0.500 0.500
W1 W 0.250 0.250 0.250
# - Final energy: -6.582 eV/atom

---

Record 9
# DyEr4Ag5 (PBE, relaxed)
data_DyEr4Ag5
_chemical_formula_sum 'Dy1 Er4 Ag5'
_cell_length_a 3.591
_cell_length_b 3.591
_cell_length_c 18.068
_cell_angle_alpha 90.00
_cell_angle_beta 90.00
_cell_angle_gamma 90.00
_space_group_name_H-M_alt 'P 1'
_space_group_IT_number 1
_space_group_name_Hall 'P 1'
loop_
_atom_site_label
_atom_site_type_symbol
_atom_site_fract_x
_atom_site_fract_y
_atom_site_fract_z
Dy1 Dy 0.000 0.000 0.000
Er1 Er 0.000 0.000 0.201
Er2 Er 0.000 0.000 0.400
Er3 Er 0.000 0.000 0.600
Er4 Er 0.000 0.000 0.799
Ag1 Ag 0.500 0.500 0.102
Ag2 Ag 0.500 0.500 0.301
Ag3 Ag 0.500 0.500 0.500
Ag4 Ag 0.500 0.500 0.699
Ag5 Ag 0.500 0.500 0.898
# - Energy of formation from the pure elements: -0.344 eV per atom
# - Final energy: -4.042 eV/atom

---

Record 10
# LiLaTb (PBE, relaxed)
data_LiLaTb
_chemical_formula_sum 'Li1 La1 Tb1'
_cell_length_a 5.127
_cell_length_b 5.127
_cell_length_c 5.127
_cell_angle_alpha 60.00
_cell_angle_beta 60.00
_cell_angle_gamma 60.00
_space_group_name_H-M_alt 'P 1'
_space_group_IT_number 1
_space_group_name_Hall 'P 1'
loop_
_atom_site_label
_atom_site_type_symbol
_atom_site_fract_x
_atom_site_fract_y
_atom_site_fract_z
Li1 Li 0.000 0.000 0.000
La1 La 0.750 0.750 0.750
Tb1 Tb 0.250 0.250 0.250
# - Final energy: -3.343 eV/atom

---

Record 11
# TaCuTcPb (PBE, relaxed)
data_TaCuTcPb
_chemical_formula_sum 'Ta1 Cu1 Tc1 Pb1'
_cell_length_a 4.613
_cell_length_b 4.613
_cell_length_c 4.613
_cell_angle_alpha 60.00
_cell_angle_beta 60.00
_cell_angle_gamma 60.00
_space_group_name_H-M_alt 'P 1'
_space_group_IT_number 1
_space_group_name_Hall 'P 1'
loop_
_atom_site_label
_atom_site_type_symbol
_atom_site_fract_x
_atom_site_fract_y
_atom_site_fract_z
Ta1 Ta 0.000 0.000 0.000
Cu1 Cu 0.500 0.500 0.500
Tc1 Tc 0.750 0.750 0.750
Pb1 Pb 0.250 0.250 0.250
# - Final energy: -6.830 eV/atom

---

Record 12
# B2PbW3 (PBE, relaxed)
data_B2PbW3
_chemical_formula_sum 'B4 Pb2 W6'
_cell_length_a 3.201
_cell_length_b 3.201
_cell_length_c 19.444
_cell_angle_alpha 90.00
_cell_angle_beta 90.00
_cell_angle_gamma 120.00
_space_group_name_H-M_alt 'P 1'
_space_group_IT_number 1
_space_group_name_Hall 'P 1'
loop_
_atom_site_label
_atom_site_type_symbol
_atom_site_fract_x
_atom_site_fract_y
_atom_site_fract_z
B1 B 0.333 0.667 0.067
B2 B 0.333 0.667 0.433
B3 B 0.667 0.333 0.567
B4 B 0.667 0.333 0.933
Pb1 Pb 0.000 0.000 0.250
Pb2 Pb 0.000 0.000 0.750
W1 W 0.000 0.000 0.000
W2 W 0.000 0.000 0.500
W3 W 0.333 0.667 0.625
W4 W 0.333 0.667 0.875
W5 W 0.667 0.333 0.125
W6 W 0.667 0.333 0.375
# - Final energy: -9.179 eV/atom

---

Q: What is the final energy in the second record?
A: -4.184 eV/atom